This record from Alexandria via LeMat-Bulk describes an optimized crystal structure of CsOsN2. The functional is GGA-PBEsol.

The structure belongs to space group R-3m (No. 166, hexagonal axes); the cell edges are 3.3263, 3.3263 and 20.7759 Å and the angles 90.00°, 90.00° and 120.00°. The inequivalent atoms are Cs at (0.0000, 0.0000, 0.0000), Os at (0.0000, 0.0000, 0.5000) and N at (0.0000, 0.0000, 0.1312).

The density of states at the Fermi level comes out at 9.54 states/eV per cell. The value obtained for the energy relative to the elements, uncorrected is 0.683 eV/atom.